[1]
Crystalline TaRu2Cl at its relaxed geometry, computed with GGA-PBE.

Cell and atoms, written as CIF:
```
data_TaRu2Cl
_cell_length_a 2.953
_cell_length_b 4.474
_cell_length_c 9.123
_cell_angle_alpha 90.00
_cell_angle_beta 90.00
_cell_angle_gamma 90.00
_symmetry_space_group_name_H-M 'I m m 2'
_symmetry_Int_Tables_number 44
_symmetry_space_group_name_Hall 'I 2 -2'
loop_
_atom_site_label
_atom_site_fract_x
_atom_site_fract_y
_atom_site_fract_z
Ta1 0.000 0.000 0.000
Ru1 0.000 0.000 0.456
Ru2 0.000 0.500 0.216
Cl1 0.000 0.500 0.725
```

[2]
Crystalline TaRu2Cl at its relaxed geometry, computed with GGA-PBE.

Cell and atoms, written as CIF:
```
data_TaRu2Cl
_cell_length_a 10.022
_cell_length_b 3.013
_cell_length_c 4.266
_cell_angle_alpha 90.00
_cell_angle_beta 91.66
_cell_angle_gamma 90.00
_symmetry_space_group_name_H-M 'C 1 m 1'
_symmetry_Int_Tables_number 8
_symmetry_space_group_name_Hall 'C -2y'
loop_
_atom_site_label
_atom_site_fract_x
_atom_site_fract_y
_atom_site_fract_z
Ta1 0.000 0.000 0.000
Ru1 0.196 0.500 0.277
Ru2 0.421 0.000 0.443
Cl1 0.215 0.000 0.732
```

[3]
Crystalline TaRuCl2 at its relaxed geometry, computed with GGA-PBE.

Cell and atoms, written as CIF:
```
data_TaRuCl2
_cell_length_a 3.3440
_cell_length_b 3.3440
_cell_length_c 25.9401
_cell_angle_alpha 90.00
_cell_angle_beta 90.00
_cell_angle_gamma 120.00
_symmetry_space_group_name_H-M 'R 3 m'
_symmetry_Int_Tables_number 160
_symmetry_space_group_name_Hall 'R 3 -2"'
loop_
_atom_site_label
_atom_site_fract_x
_atom_site_fract_y
_atom_site_fract_z
Ta1 0.0000 0.0000 0.0000
Ru1 0.0000 0.0000 0.2724
Cl1 0.0000 0.0000 0.5322
Cl2 0.0000 0.0000 0.7384
```

Number 1: energy -7.684 eV per atom, spin magnetization 0.00 μB per formula unit. Number 2: energy -7.757 eV per atom, spin magnetization 0.00 μB per formula unit. Number 3: energy -6.602 eV per atom, spin magnetization 0.00 μB per formula unit.